[1]
! Er4GeS4 | Alexandria via LeMat-Bulk | PBE-GGA | optimized geometry; values from VASP
! - Final energy: -6.06 eV per atom
! - ΔE_f (raw): -1684 meV per atom
! - SG: I4/m (87)
&SYSTEM
  ibrav = 0, nat = 9, ntyp = 3
/
ATOMIC_SPECIES
S 32.06 S.upf
Er 167.26 Er.upf
Ge 72.64 Ge.upf
CELL_PARAMETERS angstrom
0.2497 -2.5872 4.8105
-0.6650 -6.7909 -0.5104
6.3401 -1.8568 1.7797
ATOMIC_POSITIONS crystal
S 0.3976 0.4139 0.7910
Er 0.8951 0.4037 0.8061
S 0.6024 0.5861 0.2090
Ge 0.0000 0.0000 0.0000
Er 0.1049 0.5963 0.1939
Er 0.7012 0.1939 0.4037
Er 0.2988 0.8061 0.5963
S 0.8114 0.7910 0.5861
S 0.1886 0.2090 0.4139


[2]
! NaLa2Lu | Alexandria via LeMat-Bulk | PBE-GGA | optimized geometry; values from VASP
! - Final energy: -3.75 eV per atom
! - Excess energy over the best structure of this formula in the dataset: 65 meV per atom
! - SG: P4/mmm (123)
! - E_form: 0.174 eV/atom
&SYSTEM
  ibrav = 0, nat = 4, ntyp = 3
/
ATOMIC_SPECIES
Lu 174.97 Lu.upf
La 138.91 La.upf
Na 22.99 Na.upf
CELL_PARAMETERS angstrom
-3.1357 -0.6387 2.0254
-2.8468 -1.8221 -4.9819
1.8146 -5.6473 1.0286
ATOMIC_POSITIONS crystal
Lu 0.5000 0.0000 0.0000
La 0.0000 0.5000 0.0000
La 0.0000 0.0000 0.5000
Na 0.5000 0.5000 0.5000


[3]
! KPt2Se | Alexandria via LeMat-Bulk | PBE-GGA | optimized geometry; values from VASP
! - Final energy: -3.99 eV per atom
! - ΔE_f (raw): 179 meV per atom
! - SG: P4/mmm (123)
&SYSTEM
  ibrav = 0, nat = 4, ntyp = 3
/
ATOMIC_SPECIES
K 39.10 K.upf
Pt 195.08 Pt.upf
Se 78.96 Se.upf
CELL_PARAMETERS angstrom
3.1635 0.0000 0.0000
0.0000 3.1635 0.0000
0.0000 0.0000 8.3005
ATOMIC_POSITIONS crystal
K 0.5000 0.5000 0.7500
Pt 0.0000 0.0000 0.0656
Se 0.5000 0.5000 0.2500
Pt 0.0000 0.0000 0.4344